# 1
Computed, not measured: Tl2SnHgS4 after structural relaxation at the GGA-PBE level of DFT.

```
data_Tl2SnHgS4
_chemical_formula_sum 'Tl4 Sn2 Hg2 S8'
_space_group_name_H-M_alt 'P 1'
_space_group_IT_number 1
_cell_length_a 8.2848
_cell_length_b 8.2848
_cell_length_c 8.3181
_cell_angle_alpha 119.96
_cell_angle_beta 119.96
_cell_angle_gamma 92.51
loop_
_space_group_symop_operation_xyz
'x,y,z'
loop_
_atom_site_label
_atom_site_type_symbol
_atom_site_fract_x
_atom_site_fract_y
_atom_site_fract_z
Tl1 Tl 0.5000 0.0000 0.0000
Tl2 Tl 0.5000 0.0000 0.5000
Tl3 Tl 0.0000 0.0000 0.5000
Tl4 Tl 0.5000 0.5000 0.0000
Sn1 Sn 0.5000 0.5000 0.5000
Sn2 Sn 0.0000 0.0000 0.0000
Hg1 Hg 0.0000 0.5000 0.0000
Hg2 Hg 0.0000 0.5000 0.5000
S1 S 0.2040 0.7489 0.9781
S2 S 0.7511 0.2960 0.5219
S3 S 0.2489 0.7040 0.4781
S4 S 0.7960 0.2511 0.0219
S5 S 0.7526 0.7465 0.9657
S6 S 0.7535 0.7474 0.5343
S7 S 0.2465 0.2526 0.4657
S8 S 0.2474 0.2535 0.0343
```

Results
The calculation puts the raw formation energy at -0.236 eV per atom. Its space group is C2/c, No. 15. The total energy comes out at -3.430 eV/atom.


# 2
Computed, not measured: TlSnHg2S4 after structural relaxation at the GGA-PBE level of DFT.

```
data_TlSnHg2S4
_chemical_formula_sum 'Tl1 Sn1 Hg2 S4'
_space_group_name_H-M_alt 'P 1'
_space_group_IT_number 1
_cell_length_a 7.1223
_cell_length_b 6.6569
_cell_length_c 6.6569
_cell_angle_alpha 67.78
_cell_angle_beta 57.66
_cell_angle_gamma 57.66
loop_
_space_group_symop_operation_xyz
'x,y,z'
loop_
_atom_site_label
_atom_site_type_symbol
_atom_site_fract_x
_atom_site_fract_y
_atom_site_fract_z
Tl1 Tl 0.0000 0.0000 0.0000
Sn1 Sn 0.5000 0.5000 0.5000
Hg1 Hg 0.2244 0.2756 0.2756
Hg2 Hg 0.7756 0.7244 0.7244
S1 S 0.4644 0.1437 0.5282
S2 S 0.1362 0.8563 0.4718
S3 S 0.8638 0.5282 0.1437
S4 S 0.5356 0.4718 0.8563
```

Results
The calculation puts the raw formation energy at -0.193 eV per atom. Its space group is I222, No. 23. The total energy comes out at -3.129 eV/atom.


# 3
Computed, not measured: SrHgS2 after structural relaxation at the GGA-PBE level of DFT.

```
data_SrHgS2
_chemical_formula_sum 'Sr2 Hg2 S4'
_space_group_name_H-M_alt 'P 1'
_space_group_IT_number 1
_cell_length_a 6.3877
_cell_length_b 6.3877
_cell_length_c 7.6790
_cell_angle_alpha 65.42
_cell_angle_beta 65.42
_cell_angle_gamma 90.00
loop_
_space_group_symop_operation_xyz
'x,y,z'
loop_
_atom_site_label
_atom_site_type_symbol
_atom_site_fract_x
_atom_site_fract_y
_atom_site_fract_z
Sr1 Sr 0.5000 0.5000 0.0000
Sr2 Sr 0.2500 0.7500 0.5000
S1 S 0.6607 0.1250 0.2500
S2 S 0.0893 0.6250 0.2500
S3 S 0.3750 0.3393 0.7500
S4 S 0.8750 0.9107 0.7500
Hg1 Hg 0.0000 0.0000 0.0000
Hg2 Hg 0.7500 0.2500 0.5000
```

Results
The calculation puts the raw formation energy at -0.988 eV per atom. Its space group is I-42d, No. 122. The total energy comes out at -3.547 eV/atom.


# 4
Computed, not measured: SrHgS2 after structural relaxation at the GGA-PBE level of DFT.

```
data_SrHgS2
_chemical_formula_sum 'Sr2 Hg2 S4'
_space_group_name_H-M_alt 'P 1'
_space_group_IT_number 1
_cell_length_a 6.9970
_cell_length_b 7.9337
_cell_length_c 4.2080
_cell_angle_alpha 90.00
_cell_angle_beta 88.91
_cell_angle_gamma 90.13
loop_
_space_group_symop_operation_xyz
'x,y,z'
loop_
_atom_site_label
_atom_site_type_symbol
_atom_site_fract_x
_atom_site_fract_y
_atom_site_fract_z
Sr1 Sr 0.2316 0.0183 0.7916
Sr2 Sr 0.2316 0.5184 0.7914
S1 S 0.9082 0.7678 0.8593
S2 S 0.3593 0.7686 0.2890
S3 S 0.1043 0.2683 0.2941
S4 S 0.5552 0.2692 0.7265
Hg1 Hg 0.7059 0.7678 0.3901
Hg2 Hg 0.7571 0.2690 0.1968
```

Results
The calculation puts the raw formation energy at -1.106 eV per atom. Its space group is P1, No. 1. The total energy comes out at -3.666 eV/atom.


What is the raw formation energy in the first record? -0.236 eV per atom


Among the records above, which one has the lowest raw formation energy? number 4